Record 1
Here is crystalline SmSnPdPt at its relaxed geometry from Alexandria. Energies are from PBE-GGA.

The structure in POSCAR format:
```
SmSnPdPt
1.0
4.8729 0.0000 0.0000
2.4365 4.2201 0.0000
2.4365 1.4067 3.9787
Pd Sm Sn Pt
1 1 1 1
Cartesian
2.4365 1.4067 0.9947
0.0000 0.0000 0.0000
4.8729 2.8134 1.9894
7.3094 4.2201 2.9840
```

Properties
DOS(E_F) ... 2.43 states/eV per cell
Magnetic moment ... 0.000 μB per cell
Calculated formation energy ... -0.846 eV/atom
Density ... 11.58 g/cm3
DFT total energy ... -5.83 eV per atom

Record 2
Here is crystalline LiIn2Re at its relaxed geometry from Alexandria. Energies are from PBE-GGA.

The structure in POSCAR format:
```
LiIn2Re
1.0
5.4075 0.0012 0.0000
2.5755 4.7548 0.0000
-3.9915 -2.3780 2.7666
Li In Re
1 2 1
Cartesian
3.9915 2.3780 0.0000
1.2877 2.3774 1.3833
0.0000 0.0000 0.0000
2.7038 0.0006 1.3833
```

Properties
DOS(E_F) ... 1.00 states/eV per cell
E above lowest polymorph ... 96 meV/atom
Magnetic moment ... 0.000 μB per cell
Calculated formation energy ... 0.328 eV/atom
Density ... 9.87 g/cm3
DFT total energy ... -4.63 eV per atom

Record 3
Here is crystalline ZrSc2Mn at its relaxed geometry from Alexandria. Energies are from PBE-GGA.

The structure in POSCAR format:
```
ZrSc2Mn
1.0
-1.5713 2.2286 -3.6927
0.6672 -2.5024 -1.7941
-4.9025 -3.5636 -0.0646
Zr Sc Mn
1 2 1
Cartesian
-1.8445 -0.4022 -2.3110
-4.2150 -5.8195 -1.7186
-2.1379 -3.2794 -1.0695
-3.9621 -3.4351 -3.2404
```

Properties
DOS(E_F) ... 6.14 states/eV per cell
E above lowest polymorph ... 128 meV/atom
Magnetic moment ... 2.503 μB per cell
Calculated formation energy ... 0.159 eV/atom
Density ... 4.69 g/cm3
DFT total energy ... -7.44 eV per atom

Record 4
Here is crystalline Sm6Hg5Rh at its relaxed geometry from Alexandria. Energies are from PBE-GGA.

The structure in POSCAR format:
```
Sm6Hg5Rh
1.0
0.5187 3.2229 4.1743
1.4167 -5.9090 4.3859
8.0052 2.3379 0.5638
Hg Sm Rh
5 6 1
Cartesian
0.7084 -2.9545 2.1930
5.5171 3.6917 3.1913
3.0068 1.8691 1.5469
3.6121 -1.0951 3.7601
6.3285 0.7468 5.3640
3.2886 2.0255 4.7547
6.6521 -2.3738 4.3694
5.9187 0.6851 2.0993
0.5883 0.2394 3.1054
1.3471 -2.9256 5.4549
4.0219 -1.0333 7.0249
0.0000 0.0000 0.0000
```

Properties
DOS(E_F) ... 8.75 states/eV per cell
Magnetic moment ... 0.000 μB per cell
Calculated formation energy ... -0.516 eV/atom
Density ... 10.59 g/cm3
DFT total energy ... -3.61 eV per atom